The following is a PBE calculation of a relaxed Cs2CuF3 crystal, from Alexandria.

Summary:
Formation energy from raw total energies   -12.89 eV/f.u.
Crystal system   monoclinic
SG   C2/c

Geometry as POSCAR:
```
Cs2CuF3
1.0
6.6782 -4.0389 0.0000
6.6782 4.0389 0.0000
-4.0422 0.0000 6.1981
Cs Cu F
4 2 6
direct
0.0062 0.6846 0.8453
0.3154 0.9938 0.6547
0.6846 0.0062 0.3453
0.9938 0.3154 0.1547
0.4999 0.5001 0.2500
0.5001 0.4999 0.7500
0.0028 0.9972 0.2500
0.3380 0.3386 0.5870
0.3386 0.3380 0.0870
0.6614 0.6620 0.9130
0.6620 0.6614 0.4130
0.9972 0.0028 0.7500
```


The following is a PBE calculation of a relaxed Ba2P crystal, from Alexandria.

Summary:
DFT formation energy   -0.767 eV/atom
Crystal system   orthorhombic
SG   Cmc2_1

Geometry as POSCAR:
```
Ba2P
1.0
2.2248 -7.2625 0.0000
2.2248 7.2625 0.0000
0.0000 0.0000 7.6421
Ba P
4 2
direct
0.0017 0.9983 0.5000
0.2614 0.7386 0.6605
0.7386 0.2614 0.1605
0.9983 0.0017 0.0000
0.3862 0.6138 0.2693
0.6138 0.3862 0.7693
```


The following is a PBE calculation of a relaxed ScSiAg2Cl crystal, from Alexandria.

Summary:
Formation energy from raw total energies   4.51 eV/f.u.
Crystal system   tetragonal
SG   P4/mmm

Geometry as POSCAR:
```
ScSiAg2Cl
1.0
5.2838 0.0000 0.0000
0.0000 5.2838 0.0000
0.0000 0.0000 5.3608
Sc Si Ag Cl
1 1 2 1
direct
0.0000 0.0000 0.0000
0.0000 0.0000 0.5000
0.0000 0.5000 0.0000
0.5000 0.0000 0.0000
0.5000 0.5000 0.5000
```


The following is a PBE calculation of a relaxed Re2MoP crystal, from Alexandria.

Summary:
DFT formation energy   0.188 eV/atom
Crystal system   orthorhombic
SG   Pmmm

Geometry as POSCAR:
```
Re2MoP
1.0
2.9925 0.0000 0.0000
0.0000 4.4038 0.0000
0.0000 0.0000 4.4198
Re Mo P
2 1 1
direct
0.0000 0.0000 0.0000
0.5000 0.5000 0.0000
0.0000 0.5000 0.5000
0.5000 0.0000 0.5000
```


The following is a PBE calculation of a relaxed Zn2AsRh crystal, from Alexandria.

Summary:
DFT formation energy   -0.131 eV/atom
Crystal system   orthorhombic
SG   Cmmm

Geometry as POSCAR:
```
Zn2AsRh
1.0
2.5864 -3.8841 0.0000
2.5864 3.8841 0.0000
0.0000 0.0000 3.0107
Zn As Rh
2 1 1
direct
0.0000 0.5000 0.0000
0.5000 0.0000 0.0000
0.0000 0.0000 0.5000
0.5000 0.5000 0.5000
```


The following is a PBE calculation of a relaxed Tm5Tc2Te2 crystal, from Alexandria.

Summary:
Formation energy from raw total energies   -5.78 eV/f.u.
Crystal system   orthorhombic
SG   Cmce

Geometry as POSCAR:
```
Tm5Tc2Te2
1.0
8.0404 -3.7909 0.0000
8.0404 3.7909 0.0000
0.0000 0.0000 7.5347
Tm Tc Te
10 4 4
direct
0.0000 0.0000 0.0000
0.0512 0.7043 0.6719
0.2043 0.5512 0.1719
0.2957 0.9488 0.6719
0.4488 0.7957 0.1719
0.5000 0.5000 0.5000
0.5512 0.2043 0.8281
0.7043 0.0512 0.3281
0.7957 0.4488 0.8281
0.9488 0.2957 0.3281
0.1169 0.8831 0.3873
0.3831 0.6169 0.8873
0.6169 0.3831 0.1127
0.8831 0.1169 0.6127
0.2137 0.2137 0.0000
0.2863 0.2863 0.5000
0.7137 0.7137 0.5000
0.7863 0.7863 0.0000
```


The following is a PBE calculation of a relaxed BeSiP2N crystal, from Alexandria.

Summary:
Formation energy from raw total energies   3.82 eV/f.u.
Crystal system   tetragonal
SG   P4/mmm

Geometry as POSCAR:
```
BeSiP2N
1.0
4.6034 0.0000 0.0000
0.0000 4.6034 0.0000
0.0000 0.0000 3.0380
Be Si P N
1 1 2 1
direct
0.0000 0.0000 0.0000
0.5000 0.5000 0.5000
0.0000 0.5000 0.0000
0.5000 0.0000 0.0000
0.0000 0.0000 0.5000
```


The following is a PBE calculation of a relaxed Tm8ScSn6 crystal, from Alexandria.

Summary:
DFT formation energy   -0.485 eV/atom
Crystal system   trigonal
SG   R-3

Geometry as POSCAR:
```
Tm8ScSn6
1.0
4.4292 2.5572 6.4037
-4.4292 2.5572 6.4037
0.0000 -5.1144 6.4037
Tm Sc Sn
8 1 6
direct
0.0595 0.7278 0.3940
0.1664 0.1664 0.1664
0.2722 0.6060 0.9405
0.3940 0.0595 0.7278
0.6060 0.9405 0.2722
0.7278 0.3940 0.0595
0.8336 0.8336 0.8336
0.9405 0.2722 0.6060
0.5000 0.5000 0.5000
0.1041 0.4334 0.7628
0.2372 0.8959 0.5666
0.4334 0.7628 0.1041
0.5666 0.2372 0.8959
0.7628 0.1041 0.4334
0.8959 0.5666 0.2372
```